Entry from the Alexandria database: crystalline Hf4NiP at its relaxed geometry (GGA-PBE).

crystal system	monoclinic
calculated formation energy	-0.4081	eV/atom
distance to the lowest polymorph of the same formula	238	meV/atom

a = 7.5734 Å, b = 7.5734 Å, c = 6.0554 Å
α = 107.21°, β = 107.21°, γ = 120.28°
Last column: nearest neighbours and their distance in Å.
Fractional coordinates of all 12 atoms:
1 Hf 0.0634 0.6483 0.8730  1 P 2.54, 1 Ni 2.59
2 Hf 0.2254 0.3340 0.7621  2 P 2.51-2.56, 1 Ni 2.53
3 Hf 0.3340 0.2254 0.2621  2 P 2.51-2.56, 1 Ni 2.53
4 Hf 0.3517 0.9366 0.6270  1 P 2.54, 1 Ni 2.59
5 Hf 0.6483 0.0634 0.3730  1 P 2.54, 1 Ni 2.59
6 Hf 0.6660 0.7746 0.7379  2 P 2.51-2.56, 1 Ni 2.53
7 Hf 0.7746 0.6660 0.2379  2 P 2.51-2.56, 1 Ni 2.53
8 Hf 0.9366 0.3517 0.1270  1 P 2.54, 1 Ni 2.59
9 Ni 0.3802 0.6198 0.2500  4 Hf 2.53-2.59
10 Ni 0.6198 0.3802 0.7500  4 Hf 2.53-2.59
11 P 0.0601 0.9399 0.7500  6 Hf 2.51-2.56
12 P 0.9399 0.0601 0.2500  6 Hf 2.51-2.56

---

Entry from the Alexandria database: crystalline HfNi6P at its relaxed geometry (GGA-PBE).

crystal system	trigonal
calculated formation energy	-0.1087	eV/atom

a = 6.1297 Å, b = 6.1297 Å, c = 6.1297 Å
α = 47.69°, β = 47.69°, γ = 47.69°
Last column: nearest neighbours and their distance in Å.
Fractional coordinates of all 8 atoms:
1 Hf 0.0000 0.0000 0.0000  12 Ni 2.75
2 Ni 0.0612 0.5792 0.5792  1 P 2.12
3 Ni 0.4208 0.4208 0.9388  1 P 2.12
4 Ni 0.4208 0.9388 0.4208  1 P 2.12
5 Ni 0.5792 0.0612 0.5792  1 P 2.12
6 Ni 0.5792 0.5792 0.0612  1 P 2.12
7 Ni 0.9388 0.4208 0.4208  1 P 2.12
8 P 0.5000 0.5000 0.5000  6 Ni 2.12

---

Entry from the Alexandria database: crystalline Hf4NiP at its relaxed geometry (GGA-PBE).

crystal system	tetragonal
calculated formation energy	-0.6465	eV/atom
distance to the lowest polymorph of the same formula	0	meV/atom

a = 6.4197 Å, b = 6.4197 Å, c = 5.2329 Å
α = 90.00°, β = 90.00°, γ = 90.00°
Last column: nearest neighbours and their distance in Å.
Fractional coordinates of all 12 atoms:
1 Hf 0.1580 0.3384 0.0000  2 Ni 2.73, 2 P 2.76, 1 Hf 2.90
2 Hf 0.1580 0.6616 0.5000  2 Ni 2.73, 2 P 2.76, 1 Hf 2.90
3 Hf 0.3384 0.1580 0.5000  2 Ni 2.73, 2 P 2.76, 1 Hf 2.90
4 Hf 0.3384 0.8420 0.0000  2 Ni 2.73, 2 P 2.76, 1 Hf 2.90
5 Hf 0.6616 0.1580 0.0000  2 Ni 2.73, 2 P 2.76, 1 Hf 2.90
6 Hf 0.6616 0.8420 0.5000  2 Ni 2.73, 2 P 2.76, 1 Hf 2.90
7 Hf 0.8420 0.3384 0.5000  2 Ni 2.73, 2 P 2.76, 1 Hf 2.90
8 Hf 0.8420 0.6616 0.0000  2 Ni 2.73, 2 P 2.76, 1 Hf 2.90
9 Ni 0.0000 0.0000 0.2500  2 Ni 2.62, 8 Hf 2.73
10 Ni 0.0000 0.0000 0.7500  2 Ni 2.62, 8 Hf 2.73
11 P 0.5000 0.5000 0.2500  2 P 2.62, 8 Hf 2.76
12 P 0.5000 0.5000 0.7500  2 P 2.62, 8 Hf 2.76

---

Entry from the Alexandria database: crystalline HfNi5P4 at its relaxed geometry (GGA-PBE).

crystal system	orthorhombic
calculated formation energy	-0.6110	eV/atom

a = 6.9491 Å, b = 6.9491 Å, c = 6.9491 Å
α = 149.83°, β = 124.89°, γ = 64.12°
Last column: nearest neighbours and their distance in Å.
Fractional coordinates of all 10 atoms:
1 Hf 0.0000 0.0000 0.0000  6 P 2.67-2.76
2 Ni 0.0148 0.3217 0.6931  4 P 2.22-2.29, 1 Ni 2.48
3 Ni 0.3714 0.6783 0.6931  4 P 2.22-2.29, 1 Ni 2.48
4 Ni 0.5000 0.0000 0.5000  4 P 2.20
5 Ni 0.6286 0.3217 0.3069  4 P 2.22-2.29, 1 Ni 2.48
6 Ni 0.9852 0.6783 0.3069  4 P 2.22-2.29, 1 Ni 2.48
7 P 0.2341 0.2341 0.0000  6 Ni 2.23-2.29
8 P 0.3050 0.5000 0.8050  4 Ni 2.20-2.22
9 P 0.6950 0.5000 0.1950  4 Ni 2.20-2.22
10 P 0.7659 0.7659 0.0000  6 Ni 2.23-2.29

---

Entry from the Alexandria database: crystalline Hf3NiP at its relaxed geometry (GGA-PBE).

crystal system	cubic
calculated formation energy	0.0418	eV/atom
distance to the lowest polymorph of the same formula	528	meV/atom

a = 4.7438 Å, b = 4.7438 Å, c = 4.7438 Å
α = 90.00°, β = 90.00°, γ = 90.00°
Last column: nearest neighbours and their distance in Å.
Fractional coordinates of all 5 atoms:
1 Hf 0.0000 0.0000 0.5000  2 P 2.37
2 Hf 0.0000 0.5000 0.0000  2 P 2.37
3 Hf 0.5000 0.0000 0.0000  2 P 2.37
4 Ni 0.5000 0.5000 0.5000  12 Hf 3.35
5 P 0.0000 0.0000 0.0000  6 Hf 2.37

---

Entry from the Alexandria database: crystalline HfNi2P at its relaxed geometry (GGA-PBE).

crystal system	monoclinic
calculated formation energy	-0.5873	eV/atom

a = 3.2067 Å, b = 3.8017 Å, c = 4.7537 Å
α = 90.00°, β = 91.23°, γ = 90.00°
Last column: nearest neighbours and their distance in Å.
Fractional coordinates of all 4 atoms:
1 Hf 0.0000 0.0000 0.0000  8 Ni 2.75-2.76, 4 P 2.84-2.90
2 Ni 0.4945 0.5000 0.7512  2 P 2.25, 2 Ni 2.36-2.39
3 Ni 0.5055 0.5000 0.2488  2 P 2.25, 2 Ni 2.36-2.39
4 P 0.5000 0.0000 0.5000  4 Ni 2.25

---

Entry from the Alexandria database: crystalline Hf6NiP3 at its relaxed geometry (GGA-PBE).

crystal system	monoclinic
calculated formation energy	-0.8060	eV/atom

a = 9.3905 Å, b = 3.5755 Å, c = 11.4530 Å
α = 90.00°, β = 105.90°, γ = 90.00°
Last column: nearest neighbours and their distance in Å.
Fractional coordinates of all 20 atoms:
1 Hf 0.0249 0.2500 0.3626  3 P 2.56-2.69
2 Hf 0.0554 0.2500 0.8976  4 P 2.66-2.82
3 Hf 0.2668 0.7500 0.3280  2 Ni 2.55, 3 P 2.62-2.66
4 Hf 0.3117 0.7500 0.7686  3 P 2.49-2.73, 1 Ni 2.57
5 Hf 0.3581 0.7500 0.0848  5 P 2.54-2.82, 2 Ni 2.82
6 Hf 0.3950 0.2500 0.5559  2 P 2.67, 2 Ni 2.74
7 Hf 0.6050 0.7500 0.4441  2 P 2.67, 2 Ni 2.74
8 Hf 0.6419 0.2500 0.9152  5 P 2.54-2.82, 2 Ni 2.82
9 Hf 0.6883 0.2500 0.2314  3 P 2.49-2.73, 1 Ni 2.57
10 Hf 0.7332 0.2500 0.6720  2 Ni 2.55, 3 P 2.62-2.66
11 Hf 0.9446 0.7500 0.1024  4 P 2.66-2.82
12 Hf 0.9751 0.7500 0.6374  3 P 2.56-2.69
13 Ni 0.4382 0.2500 0.2824  7 Hf 2.55-2.82, 1 P 2.61
14 Ni 0.5618 0.7500 0.7176  7 Hf 2.55-2.82, 1 P 2.61
15 P 0.1622 0.2500 0.1530  1 Ni 2.61, 7 Hf 2.66-2.82
16 P 0.1766 0.7500 0.5251  7 Hf 2.56-2.73
17 P 0.3465 0.2500 0.9252  5 Hf 2.49-2.66
18 P 0.6535 0.7500 0.0748  5 Hf 2.49-2.66
19 P 0.8234 0.2500 0.4749  7 Hf 2.56-2.73
20 P 0.8378 0.7500 0.8470  1 Ni 2.61, 7 Hf 2.66-2.82

---

Entry from the Alexandria database: crystalline Hf2Ni2P3 at its relaxed geometry (GGA-PBE).

crystal system	monoclinic
calculated formation energy	-0.9846	eV/atom

a = 6.9264 Å, b = 6.9264 Å, c = 10.3021 Å
α = 122.40°, β = 122.40°, γ = 30.52°
Last column: nearest neighbours and their distance in Å.
Fractional coordinates of all 14 atoms:
1 Hf 0.0992 0.0992 0.4473  7 P 2.68-2.89, 3 Ni 2.83-2.93
2 Hf 0.2389 0.2389 0.8465  6 P 2.61-2.66
3 Hf 0.7611 0.7611 0.1535  6 P 2.61-2.66
4 Hf 0.9008 0.9008 0.5527  7 P 2.68-2.89, 3 Ni 2.83-2.93
5 Ni 0.0917 0.0917 0.1677  4 P 2.22-2.24
6 Ni 0.4497 0.4497 0.1865  4 P 2.22-2.42
7 Ni 0.5503 0.5503 0.8135  4 P 2.22-2.42
8 Ni 0.9083 0.9083 0.8323  4 P 2.22-2.24
9 P 0.1090 0.1090 0.9655  4 Ni 2.22-2.24
10 P 0.3340 0.3340 0.6804  3 Ni 2.24-2.42
11 P 0.4049 0.4049 0.3638  1 Ni 2.22
12 P 0.5951 0.5951 0.6362  1 Ni 2.22
13 P 0.6660 0.6660 0.3196  3 Ni 2.24-2.42
14 P 0.8910 0.8910 0.0345  4 Ni 2.22-2.24